# 1
The following is a DFT calculation (PBE-GGA) of crystalline Cr2NiAs at its relaxed geometry.

Values from the calculation:
E_tot, eV per atom: -7.3697
DOS at the Fermi energy, states/eV per atom: 0.55
ρ, Mg/m³: 7.82

CIF file:
```
data_Cr2NiAs
_symmetry_space_group_name_H-M 'P 4 m m'
_symmetry_Int_Tables_number 99
_cell_length_a 3.071
_cell_length_b 3.071
_cell_length_c 5.349
_cell_angle_alpha 90.00
_cell_angle_beta 90.00
_cell_angle_gamma 90.00
loop_
_symmetry_equiv_pos_as_xyz
'x,y,z'
'-y,x,z'
'-x,-y,z'
'y,-x,z'
'-x,y,z'
'y,x,z'
'x,-y,z'
'-y,-x,z'
loop_
_atom_site_label
_atom_site_fract_x
_atom_site_fract_y
_atom_site_fract_z
_atom_site_occupancy
Cr1 0.000 0.000 0.000 1
Cr2 0.500 0.500 0.232 1
Ni1 0.000 0.000 0.491 1
As1 0.500 0.500 0.728 1
```

=====

# 2
The following is a DFT calculation (PBE-GGA) of crystalline CeCuSb2 at its relaxed geometry.

Values from the calculation:
E_tot, eV per atom: -4.5149
DOS at the Fermi energy, states/eV per atom: 1.89
ρ, Mg/m³: 4.93
Energy relative to the elements, uncorrected, eV per atom: 0.05

CIF file:
```
data_CeCuSb2
_symmetry_space_group_name_H-M 'R -3 m'
_symmetry_Int_Tables_number 166
_symmetry_space_group_name_Hall '-R 3 2"'
_cell_length_a 4.6140
_cell_length_b 4.6140
_cell_length_c 24.5047
_cell_angle_alpha 90.00
_cell_angle_beta 90.00
_cell_angle_gamma 120.00
loop_
_atom_site_label
_atom_site_fract_x
_atom_site_fract_y
_atom_site_fract_z
_atom_site_occupancy
Ce1 0.0000 0.0000 0.0000 1
Cu1 0.0000 0.0000 0.5000 1
Sb1 0.0000 0.0000 0.3997 1
```

=====

# 3
The following is a DFT calculation (PBE-GGA) of crystalline CoTeRh2 at its relaxed geometry.

Values from the calculation:
E_tot, eV per atom: -6.0441
DOS at the Fermi energy, states/eV per atom: 1.76
ρ, Mg/m³: 10.62
Energy relative to the elements, uncorrected, eV per atom: 0.19

CIF file:
```
data_CoTeRh2
_symmetry_space_group_name_H-M 'F -4 3 m'
_symmetry_Int_Tables_number 216
_symmetry_space_group_name_Hall 'F -4 2 3'
_cell_length_a 6.262
_cell_length_b 6.262
_cell_length_c 6.262
_cell_angle_alpha 90.00
_cell_angle_beta 90.00
_cell_angle_gamma 90.00
loop_
_atom_site_label
_atom_site_fract_x
_atom_site_fract_y
_atom_site_fract_z
_atom_site_occupancy
Co1 0.000 0.000 0.000 1
Te1 0.250 0.250 0.250 1
Rh1 0.000 0.000 0.500 1
Rh2 0.250 0.250 0.750 1
```